Density functional theory data (SCAN) for a crystal of MnB3Se relaxed with PBEsol.

Values from the calculation:
Total moment   2.871 μB per cell
Formation energy (no corrections)   1.36 eV per atom
Density of states at the Fermi level   2.28 states/eV per cell
E_tot   -53.83 eV/cell

Lattice parameters (Å, degrees): 3.9120 3.9120 3.9120 90.00 90.00 90.00
With the nearest neighbours (Å) after each atom.
Positions (direct):
1 Mn 0.0000 0.0000 0.0000  6 B 1.96
2 Se 0.5000 0.5000 0.5000  12 B 2.77
3 B 0.0000 0.0000 0.5000  2 Mn 1.96
4 B 0.0000 0.5000 0.0000  2 Mn 1.96
5 B 0.5000 0.0000 0.0000  2 Mn 1.96